# Na2SnCl5

A relaxed Na2SnCl5 crystal (GGA-PBE, the Alexandria database).

The structure in POSCAR format:
```
Na2SnCl5
1.0
5.259 0.000 0.000
-2.630 6.969 0.000
0.000 0.000 13.563
Na Sn Cl
4 2 10
direct
0.849 0.698 0.443
0.849 0.698 0.057
0.151 0.302 0.557
0.151 0.302 0.943
0.826 0.652 0.750
0.174 0.348 0.250
0.955 0.910 0.882
0.955 0.910 0.618
0.301 0.603 0.403
0.301 0.603 0.097
0.698 0.397 0.250
0.302 0.603 0.750
0.699 0.397 0.597
0.699 0.397 0.903
0.045 0.090 0.118
0.045 0.090 0.382
```

SG = Cmcm, No. 63
E_tot = -3.322 eV/atom
uncorrected formation energy = -1.34 eV per atom


# Na2SnCl

A relaxed Na2SnCl crystal (GGA-PBE, the Alexandria database).

The structure in POSCAR format:
```
Na2SnCl
1.0
-1.989 5.118 5.379
0.220 -5.525 5.338
3.065 0.613 6.041
Na Sn Cl
4 2 2
direct
0.566 0.125 0.250
0.184 0.625 0.250
0.375 0.434 0.750
0.875 0.816 0.750
0.000 0.000 0.000
0.750 0.250 0.500
0.500 0.500 0.000
0.250 0.750 0.500
```

SG = I-42d, No. 122
E_tot = -2.724 eV/atom
distance to the lowest polymorph of the same formula = 272 meV/atom
uncorrected formation energy = -0.60 eV per atom


# Na3SnCl

A relaxed Na3SnCl crystal (GGA-PBE, the Alexandria database).

The structure in POSCAR format:
```
Na3SnCl
1.0
-4.721 -3.098 -1.936
0.373 -3.555 4.781
-3.634 3.660 3.005
Na Sn Cl
3 1 1
direct
0.000 0.500 0.000
0.000 0.000 0.500
0.500 0.000 0.000
0.000 0.000 0.000
0.500 0.500 0.500
```

SG = Pm-3m, No. 221
E_tot = -2.159 eV/atom
distance to the lowest polymorph of the same formula = 403 meV/atom
uncorrected formation energy = -0.20 eV per atom


Q: Among the records above, which one has the lowest uncorrected formation energy?
A: Na2SnCl5